DFT (PBE-GGA) results for an optimized crystal structure of MgInNiHg.

abc: 4.6901 4.6901 4.6901
angles: 60.00 60.00 60.00
Sites, in units of the cell vectors:
Mg 0.2500 0.2500 0.2500
Ni 0.7500 0.7500 0.7500
Hg 0.0000 0.0000 0.0000
In 0.5000 0.5000 0.5000

Formation energy   0.027 eV/atom